(1)
This record from Alexandria describes an optimized crystal structure of HoMg3Pt2. The functional is PBE. Values from VASP.

Cell and atoms, written as Quantum ESPRESSO input:
```
&SYSTEM
  ibrav = 0, nat = 12, ntyp = 3
/
ATOMIC_SPECIES
Ho 164.93 Ho.upf
Mg 24.30 Mg.upf
Pt 195.08 Pt.upf
CELL_PARAMETERS angstrom
3.847 0.000 1.059
1.036 7.437 3.755
-0.239 -0.371 8.385
ATOMIC_POSITIONS angstrom
Ho 3.453 0.911 2.490
Ho 1.191 6.156 10.709
Mg 1.558 3.195 9.376
Mg 4.046 2.319 7.853
Mg 2.587 0.817 5.638
Mg 2.057 6.249 7.561
Mg 0.598 4.748 5.347
Mg 3.086 3.871 3.824
Pt 1.876 0.804 8.218
Pt 2.768 6.263 4.981
Pt 3.617 4.988 9.414
Pt 1.027 2.078 3.785
```

Values from the calculation:
Total moment = 0.0 μB per formula unit
Energy of formation from the pure elements = -451 kJ/mol of formula units

***

(2)
This record from Alexandria describes an optimized crystal structure of HoMgPtRh. The functional is PBE. Values from VASP.

Cell and atoms, written as Quantum ESPRESSO input:
```
&SYSTEM
  ibrav = 0, nat = 4, ntyp = 4
/
ATOMIC_SPECIES
Mg 24.30 Mg.upf
Rh 102.91 Rh.upf
Ho 164.93 Ho.upf
Pt 195.08 Pt.upf
CELL_PARAMETERS angstrom
-1.041 3.116 -3.334
-3.515 -0.841 -2.974
-3.950 2.495 0.280
ATOMIC_POSITIONS angstrom
Mg -2.127 1.192 -1.507
Rh 0.000 0.000 0.000
Ho -6.380 3.577 -4.520
Pt -4.253 2.385 -3.014
```

Values from the calculation:
Total moment = 0.0 μB per formula unit
Energy of formation from the pure elements = -342 kJ/mol of formula units

***

(3)
This record from Alexandria describes an optimized crystal structure of HoMgRuPt. The functional is PBE. Values from VASP.

Cell and atoms, written as Quantum ESPRESSO input:
```
&SYSTEM
  ibrav = 0, nat = 4, ntyp = 4
/
ATOMIC_SPECIES
Ru 101.07 Ru.upf
Mg 24.30 Mg.upf
Ho 164.93 Ho.upf
Pt 195.08 Pt.upf
CELL_PARAMETERS angstrom
-0.268 -1.865 4.258
3.602 -2.394 1.724
2.524 1.780 3.484
ATOMIC_POSITIONS angstrom
Ru 1.465 -0.620 2.367
Mg 0.000 0.000 0.000
Ho 2.929 -1.239 4.733
Pt 4.394 -1.859 7.100
```

Values from the calculation:
Total moment = 0.0 μB per formula unit
Energy of formation from the pure elements = -230 kJ/mol of formula units

***

(4)
This record from Alexandria describes an optimized crystal structure of HoMgSc2Pt2. The functional is PBE. Values from VASP.

Cell and atoms, written as Quantum ESPRESSO input:
```
&SYSTEM
  ibrav = 0, nat = 6, ntyp = 4
/
ATOMIC_SPECIES
Ho 164.93 Ho.upf
Mg 24.30 Mg.upf
Sc 44.96 Sc.upf
Pt 195.08 Pt.upf
CELL_PARAMETERS angstrom
4.732 0.000 0.000
-2.366 4.098 0.000
0.000 0.000 6.317
ATOMIC_POSITIONS angstrom
Ho 0.000 0.000 0.000
Mg 0.000 0.000 3.159
Sc 0.000 2.732 4.309
Sc 2.366 1.366 2.008
Pt 0.000 2.732 1.557
Pt 2.366 1.366 4.760
```

Values from the calculation:
Total moment = 0.0 μB per formula unit
Energy of formation from the pure elements = -536 kJ/mol of formula units

***

(5)
This record from Alexandria describes an optimized crystal structure of HoMgScPt. The functional is PBE. Values from VASP.

Cell and atoms, written as Quantum ESPRESSO input:
```
&SYSTEM
  ibrav = 0, nat = 4, ntyp = 4
/
ATOMIC_SPECIES
Sc 44.96 Sc.upf
Mg 24.30 Mg.upf
Ho 164.93 Ho.upf
Pt 195.08 Pt.upf
CELL_PARAMETERS angstrom
-1.213 1.518 4.530
-1.331 -3.285 3.426
2.993 -0.947 3.800
ATOMIC_POSITIONS angstrom
Sc 0.225 -1.357 5.878
Mg 0.112 -0.679 2.939
Ho 0.000 0.000 0.000
Pt 0.337 -2.036 8.817
```

Values from the calculation:
Total moment = 0.0 μB per formula unit
Energy of formation from the pure elements = -235 kJ/mol of formula units

***

(6)
This record from Alexandria describes an optimized crystal structure of HoMgSi2Pt5. The functional is PBE. Values from VASP.

Cell and atoms, written as Quantum ESPRESSO input:
```
&SYSTEM
  ibrav = 0, nat = 9, ntyp = 4
/
ATOMIC_SPECIES
Ho 164.93 Ho.upf
Mg 24.30 Mg.upf
Si 28.09 Si.upf
Pt 195.08 Pt.upf
CELL_PARAMETERS angstrom
4.129 0.000 0.000
0.000 4.129 0.000
0.000 0.000 8.937
ATOMIC_POSITIONS angstrom
Ho 0.000 0.000 4.469
Mg 0.000 0.000 0.000
Si 2.064 2.064 1.139
Si 2.064 2.064 7.798
Pt 0.000 2.064 2.338
Pt 2.064 0.000 2.338
Pt 0.000 2.064 6.599
Pt 2.064 0.000 6.599
Pt 2.064 2.064 4.469
```

Values from the calculation:
Formation energy from raw total energies = -0.92 eV/atom
Total moment = 0.0 μB per formula unit

***

(7)
This record from Alexandria describes an optimized crystal structure of Ho2MgSi4Pt3. The functional is PBE. Values from VASP.

Cell and atoms, written as Quantum ESPRESSO input:
```
&SYSTEM
  ibrav = 0, nat = 10, ntyp = 4
/
ATOMIC_SPECIES
Ho 164.93 Ho.upf
Mg 24.30 Mg.upf
Si 28.09 Si.upf
Pt 195.08 Pt.upf
CELL_PARAMETERS angstrom
4.092 0.000 0.000
0.000 4.092 0.000
0.000 0.000 10.567
ATOMIC_POSITIONS angstrom
Ho 2.046 0.000 2.615
Ho 0.000 2.046 7.952
Mg 2.046 2.046 5.283
Si 2.046 2.046 0.000
Si 0.000 0.000 0.000
Si 2.046 0.000 6.866
Si 0.000 2.046 3.701
Pt 0.000 0.000 5.283
Pt 2.046 0.000 9.262
Pt 0.000 2.046 1.305
```

Values from the calculation:
Formation energy from raw total energies = -0.96 eV/atom
Total moment = 0.0 μB per formula unit

***

(8)
This record from Alexandria describes an optimized crystal structure of Ho2MgSi3Pt12. The functional is PBE. Values from VASP.

Cell and atoms, written as Quantum ESPRESSO input:
```
&SYSTEM
  ibrav = 0, nat = 18, ntyp = 4
/
ATOMIC_SPECIES
Ho 164.93 Ho.upf
Mg 24.30 Mg.upf
Si 28.09 Si.upf
Pt 195.08 Pt.upf
CELL_PARAMETERS angstrom
7.431 -0.492 -0.349
3.242 6.705 -0.349
3.242 1.887 6.443
ATOMIC_POSITIONS angstrom
Ho 8.423 4.903 3.478
Ho 5.493 3.197 2.268
Mg 0.000 0.000 0.000
Si 3.716 -0.246 -0.174
Si 1.621 3.352 -0.174
Si 1.621 0.944 3.222
Pt 6.703 3.902 5.519
Pt 10.384 6.044 1.848
Pt 8.382 7.181 5.094
Pt 8.961 2.619 1.858
Pt 10.384 3.742 5.094
Pt 6.703 6.498 1.858
Pt 7.213 4.199 0.227
Pt 3.532 2.056 3.898
Pt 5.534 0.919 0.652
Pt 4.955 5.481 3.888
Pt 3.532 4.358 0.652
Pt 7.213 1.602 3.888
```

Values from the calculation:
Formation energy from raw total energies = -0.55 eV/atom
Total moment = 0.0 μB per formula unit

***

(9)
This record from Alexandria describes an optimized crystal structure of HoMgSnPt. The functional is PBE. Values from VASP.

Cell and atoms, written as Quantum ESPRESSO input:
```
&SYSTEM
  ibrav = 0, nat = 4, ntyp = 4
/
ATOMIC_SPECIES
Mg 24.30 Mg.upf
Ho 164.93 Ho.upf
Pt 195.08 Pt.upf
Sn 118.71 Sn.upf
CELL_PARAMETERS angstrom
4.932 0.000 0.000
2.466 4.271 0.000
2.466 1.424 4.027
ATOMIC_POSITIONS angstrom
Mg 4.932 2.848 2.013
Ho 0.000 0.000 0.000
Pt 7.398 4.271 3.020
Sn 2.466 1.424 1.007
```

Values from the calculation:
Total moment = 0.0 μB per formula unit
Energy of formation from the pure elements = -269 kJ/mol of formula units

***

(10)
This record from Alexandria describes an optimized crystal structure of HoMgTlPt. The functional is PBE. Values from VASP.

Cell and atoms, written as Quantum ESPRESSO input:
```
&SYSTEM
  ibrav = 0, nat = 4, ntyp = 4
/
ATOMIC_SPECIES
Mg 24.30 Mg.upf
Tl 204.38 Tl.upf
Ho 164.93 Ho.upf
Pt 195.08 Pt.upf
CELL_PARAMETERS angstrom
4.944 0.000 0.000
2.472 4.282 0.000
2.472 1.427 4.037
ATOMIC_POSITIONS angstrom
Mg 4.944 2.855 2.019
Tl 2.472 1.427 1.009
Ho 0.000 0.000 0.000
Pt 7.417 4.282 3.028
```

Values from the calculation:
Total moment = 0.0 μB per formula unit
Energy of formation from the pure elements = -234 kJ/mol of formula units

***

(11)
This record from Alexandria describes an optimized crystal structure of HoTmMgPt. The functional is PBE. Values from VASP.

Cell and atoms, written as Quantum ESPRESSO input:
```
&SYSTEM
  ibrav = 0, nat = 4, ntyp = 4
/
ATOMIC_SPECIES
Mg 24.30 Mg.upf
Tm 168.93 Tm.upf
Ho 164.93 Ho.upf
Pt 195.08 Pt.upf
CELL_PARAMETERS angstrom
-3.933 0.656 -3.079
-2.742 -3.964 -1.463
-4.689 -0.599 1.741
ATOMIC_POSITIONS angstrom
Mg -2.841 -0.977 -0.700
Tm 0.000 0.000 0.000
Ho -5.682 -1.954 -1.401
Pt -8.523 -2.931 -2.101
```

Values from the calculation:
Total moment = 0.0 μB per formula unit
Energy of formation from the pure elements = -240 kJ/mol of formula units

***

(12)
This record from Alexandria describes an optimized crystal structure of YHoMgPt. The functional is PBE. Values from VASP.

Cell and atoms, written as Quantum ESPRESSO input:
```
&SYSTEM
  ibrav = 0, nat = 4, ntyp = 4
/
ATOMIC_SPECIES
Y 88.91 Y.upf
Mg 24.30 Mg.upf
Ho 164.93 Ho.upf
Pt 195.08 Pt.upf
CELL_PARAMETERS angstrom
-1.203 -4.411 -2.209
2.303 -4.283 1.462
-2.587 -3.516 2.593
ATOMIC_POSITIONS angstrom
Y -1.115 -9.157 1.385
Mg 0.000 0.000 0.000
Ho -0.372 -3.052 0.462
Pt -0.744 -6.105 0.924
```

Values from the calculation:
Total moment = 0.0 μB per formula unit
Energy of formation from the pure elements = -234 kJ/mol of formula units

***

(13)
This record from Alexandria describes an optimized crystal structure of HoMgZn2Pt2. The functional is PBE. Values from VASP.

Cell and atoms, written as Quantum ESPRESSO input:
```
&SYSTEM
  ibrav = 0, nat = 6, ntyp = 4
/
ATOMIC_SPECIES
Ho 164.93 Ho.upf
Mg 24.30 Mg.upf
Zn 65.41 Zn.upf
Pt 195.08 Pt.upf
CELL_PARAMETERS angstrom
-1.269 2.251 -3.577
0.900 -4.309 -0.310
-6.158 -1.381 1.316
ATOMIC_POSITIONS angstrom
Ho 0.000 0.000 0.000
Mg -3.079 -0.691 0.658
Zn -4.893 -0.911 -1.559
Zn -1.633 -2.528 -1.012
Pt -2.228 -0.313 -2.128
Pt -4.298 -3.126 -0.442
```

Values from the calculation:
Total moment = 0.0 μB per formula unit
Energy of formation from the pure elements = -460 kJ/mol of formula units

***

(14)
This record from Alexandria describes an optimized crystal structure of HoMg2ZnPt4. The functional is PBE. Values from VASP.

Cell and atoms, written as Quantum ESPRESSO input:
```
&SYSTEM
  ibrav = 0, nat = 8, ntyp = 4
/
ATOMIC_SPECIES
Ho 164.93 Ho.upf
Mg 24.30 Mg.upf
Zn 65.41 Zn.upf
Pt 195.08 Pt.upf
CELL_PARAMETERS angstrom
-4.433 1.089 0.140
-2.273 -0.185 3.957
-0.424 7.499 2.742
ATOMIC_POSITIONS angstrom
Ho 0.000 0.000 0.000
Mg -5.366 6.229 5.115
Mg -1.764 2.174 1.724
Zn -3.565 4.202 3.419
Pt -2.941 6.682 3.894
Pt -6.010 3.670 4.626
Pt -1.120 4.733 2.213
Pt -4.189 1.721 2.945
```

Values from the calculation:
Total moment = 0.0 μB per formula unit
Energy of formation from the pure elements = -654 kJ/mol of formula units